Density functional theory data (GGA-PBE) for crystalline HfAl5 at its relaxed geometry.

Cell lengths 4.056, 12.652, 3.985 Å; angles 90.00, 90.00, 90.00 degrees
Fractional coordinates of all 12 atoms:
1 Hf 0.000 0.000 0.000
2 Hf 0.500 0.500 0.000
3 Al 0.000 0.171 0.500
4 Al 0.000 0.334 0.000
5 Al 0.000 0.500 0.500
6 Al 0.000 0.666 0.000
7 Al 0.000 0.829 0.500
8 Al 0.500 0.000 0.500
9 Al 0.500 0.166 0.000
10 Al 0.500 0.329 0.500
11 Al 0.500 0.671 0.500
12 Al 0.500 0.834 0.000

Properties
**DFT formation energy**: -0.202 eV per atom
**Crystal system**: orthorhombic

=====

Density functional theory data (GGA-PBE) for crystalline ZrTaRe2 at its relaxed geometry.

Cell lengths 3.855, 3.855, 9.457 Å; angles 90.00, 90.00, 90.00 degrees
Fractional coordinates of all 8 atoms:
1 Zr 0.000 0.000 0.000
2 Zr 0.500 0.500 0.500
3 Ta 0.000 0.500 0.250
4 Ta 0.500 0.000 0.750
5 Re 0.000 0.000 0.500
6 Re 0.000 0.500 0.750
7 Re 0.500 0.000 0.250
8 Re 0.500 0.500 0.000

Properties
**DFT formation energy**: 0.115 eV per atom
**Crystal system**: tetragonal

=====

Density functional theory data (GGA-PBE) for crystalline TbYZnNi at its relaxed geometry.

Cell lengths 6.971, 6.971, 6.971 Å; angles 90.00, 90.00, 90.00 degrees
Fractional coordinates of all 16 atoms:
1 Tb 0.000 0.000 0.000
2 Tb 0.000 0.500 0.500
3 Tb 0.500 0.000 0.500
4 Tb 0.500 0.500 0.000
5 Y 0.000 0.000 0.500
6 Y 0.000 0.500 0.000
7 Y 0.500 0.000 0.000
8 Y 0.500 0.500 0.500
9 Zn 0.250 0.250 0.250
10 Zn 0.250 0.750 0.750
11 Zn 0.750 0.250 0.750
12 Zn 0.750 0.750 0.250
13 Ni 0.250 0.250 0.750
14 Ni 0.250 0.750 0.250
15 Ni 0.750 0.250 0.250
16 Ni 0.750 0.750 0.750

Properties
**DFT formation energy**: -0.340 eV per atom
**Crystal system**: cubic
**Energy above the most stable polymorph in this dataset**: 0.025 eV/atom

=====

Density functional theory data (GGA-PBE) for crystalline YGa3P at its relaxed geometry.

Cell lengths 4.790, 4.790, 4.790 Å; angles 90.00, 90.00, 90.00 degrees
Fractional coordinates of all 5 atoms:
1 Y 0.000 0.000 0.000
2 Ga 0.000 0.500 0.500
3 Ga 0.500 0.000 0.500
4 Ga 0.500 0.500 0.000
5 P 0.500 0.500 0.500

Properties
**DFT formation energy**: 0.077 eV per atom
**Crystal system**: cubic
**Energy above the most stable polymorph in this dataset**: 0.000 eV/atom

=====

Density functional theory data (GGA-PBE) for crystalline VCrRePt at its relaxed geometry.

Cell lengths 6.111, 6.111, 6.111 Å; angles 90.00, 90.00, 90.00 degrees
Fractional coordinates of all 16 atoms:
1 V 0.000 0.000 0.000
2 V 0.000 0.500 0.500
3 V 0.500 0.000 0.500
4 V 0.500 0.500 0.000
5 Cr 0.000 0.000 0.500
6 Cr 0.000 0.500 0.000
7 Cr 0.500 0.000 0.000
8 Cr 0.500 0.500 0.500
9 Re 0.250 0.250 0.750
10 Re 0.250 0.750 0.250
11 Re 0.750 0.250 0.250
12 Re 0.750 0.750 0.750
13 Pt 0.250 0.250 0.250
14 Pt 0.250 0.750 0.750
15 Pt 0.750 0.250 0.750
16 Pt 0.750 0.750 0.250

Properties
**DFT formation energy**: -0.112 eV per atom
**Crystal system**: cubic

=====

Density functional theory data (GGA-PBE) for crystalline La6Si2GeBr3 at its relaxed geometry.

Cell lengths 9.961, 9.961, 8.924 Å; angles 104.15, 104.15, 25.53 degrees
Fractional coordinates of all 12 atoms:
1 La 0.008 0.008 0.235
2 La 0.326 0.326 0.435
3 La 0.339 0.339 0.895
4 La 0.661 0.661 0.105
5 La 0.674 0.674 0.565
6 La 0.992 0.992 0.765
7 Si 0.167 0.167 0.334
8 Si 0.833 0.833 0.666
9 Ge 0.500 0.500 0.000
10 Br 0.166 0.166 0.834
11 Br 0.500 0.500 0.500
12 Br 0.834 0.834 0.166

Properties
**Crystal system**: monoclinic
**Uncorrected formation energy**: -1.1791 eV/atom

=====

Density functional theory data (GGA-PBE) for crystalline LiMg3Tl at its relaxed geometry.

Cell lengths 8.941, 8.941, 5.573 Å; angles 90.00, 90.00, 141.89 degrees
Fractional coordinates of all 10 atoms:
1 Li 0.153 0.847 0.750
2 Li 0.847 0.153 0.250
3 Mg 0.000 0.000 0.000
4 Mg 0.000 0.000 0.500
5 Mg 0.049 0.442 0.750
6 Mg 0.442 0.049 0.250
7 Mg 0.558 0.951 0.750
8 Mg 0.951 0.558 0.250
9 Tl 0.457 0.543 0.750
10 Tl 0.543 0.457 0.250

Properties
**DFT formation energy**: 0.195 eV per atom
**Crystal system**: orthorhombic
**Energy above the most stable polymorph in this dataset**: 0.286 eV/atom

=====

Density functional theory data (GGA-PBE) for crystalline CrAgCl at its relaxed geometry.

Cell lengths 4.355, 4.355, 3.577 Å; angles 90.00, 90.00, 120.00 degrees
Fractional coordinates of all 3 atoms:
1 Cr 0.000 0.000 0.000
2 Ag 0.667 0.333 0.500
3 Cl 0.333 0.667 0.000

Properties
**Crystal system**: hexagonal
**Energy above the most stable polymorph in this dataset**: 0.299 eV/atom
**Uncorrected formation energy**: 0.3183 eV/atom

=====

Density functional theory data (GGA-PBE) for crystalline CsLi2TeCl at its relaxed geometry.

Cell lengths 4.592, 4.592, 14.511 Å; angles 90.00, 90.00, 90.00 degrees
Fractional coordinates of all 10 atoms:
1 Cs 0.000 0.000 0.000
2 Cs 0.500 0.500 0.500
3 Li 0.000 0.500 0.244
4 Li 0.000 0.500 0.744
5 Li 0.500 0.000 0.244
6 Li 0.500 0.000 0.744
7 Te 0.000 0.000 0.645
8 Te 0.500 0.500 0.145
9 Cl 0.000 0.000 0.331
10 Cl 0.500 0.500 0.831

Properties
**Crystal system**: tetragonal
**Uncorrected formation energy**: -1.3564 eV/atom

=====

Density functional theory data (GGA-PBE) for crystalline Zr3TiAs2 at its relaxed geometry.

Cell lengths 3.821, 3.923, 15.122 Å; angles 90.00, 90.00, 90.00 degrees
Fractional coordinates of all 12 atoms:
1 Zr 0.000 0.000 0.000
2 Zr 0.000 0.500 0.321
3 Zr 0.000 0.500 0.679
4 Zr 0.500 0.000 0.179
5 Zr 0.500 0.000 0.821
6 Zr 0.500 0.500 0.500
7 Ti 0.000 0.000 0.500
8 Ti 0.500 0.500 0.000
9 As 0.000 0.500 0.134
10 As 0.000 0.500 0.866
11 As 0.500 0.000 0.366
12 As 0.500 0.000 0.634

Properties
**DFT formation energy**: -0.940 eV per atom
**Crystal system**: orthorhombic

=====

Density functional theory data (GGA-PBE) for crystalline La2PdRuN at its relaxed geometry.

Cell lengths 5.250, 5.250, 3.830 Å; angles 90.00, 90.00, 90.00 degrees
Fractional coordinates of all 5 atoms:
1 La 0.000 0.500 0.000
2 La 0.500 0.000 0.000
3 Pd 0.000 0.000 0.500
4 Ru 0.500 0.500 0.500
5 N 0.500 0.500 0.000

Properties
**Crystal system**: tetragonal
**Uncorrected formation energy**: -0.7881 eV/atom

=====

Density functional theory data (GGA-PBE) for crystalline SrTl2Ru at its relaxed geometry.

Cell lengths 3.644, 3.644, 7.919 Å; angles 90.00, 90.00, 90.00 degrees
Fractional coordinates of all 4 atoms:
1 Sr 0.000 0.000 0.000
2 Tl 0.000 0.000 0.596
3 Tl 0.500 0.500 0.332
4 Ru 0.500 0.500 0.733

Properties
**DFT formation energy**: 0.235 eV per atom
**Crystal system**: tetragonal

=====

| no. | E (eV/atom) |
| --- | --- |
| 1 | -4.979 |
| 2 | -11.209 |
| 3 | -4.877 |
| 4 | -4.114 |
| 5 | -9.420 |
| 6 | -5.350 |
| 7 | -1.617 |
| 8 | -4.455 |
| 9 | -3.290 |
| 10 | -8.080 |
| 11 | -7.318 |
| 12 | -3.688 |